# 1
The following is a PBE-GGA calculation of a relaxed LiAlNiHg crystal, from OQMD.

```
4
Lattice="0.531 2.307 3.644 -2.984 2.935 1.167 -2.554 -0.746 3.436" Properties=species:S:1:pos:R:3 pbc="T T T"
Li -1.252 1.124 2.062
Ni -3.755 3.372 6.185
Hg -2.504 2.248 4.123
Al 0.000 0.000 0.000
```

Calculated values
energy: -3.096 eV/atom
total magnetization: 0.002 μB/f.u.



# 2
The following is a PBE-GGA calculation of a relaxed Pm3GeSe2 crystal, from OQMD.

```
6
Lattice="4.973 -4.419 3.073 4.410 2.537 5.275 -6.915 -1.139 -2.145" Properties=species:S:1:pos:R:3 pbc="T T T"
Ge 0.000 0.000 0.000
Se 6.264 -1.257 5.573
Pm -0.971 -2.779 0.464
Pm 0.255 0.396 2.906
Pm 2.214 -3.418 3.297
Se 3.119 -0.626 2.775
```

Calculated values
energy: -5.910 eV/atom
total magnetization: 0.009 μB/f.u.



# 3
The following is a PBE-GGA calculation of a relaxed LiNiBMo crystal, from OQMD.

```
4
Lattice="-3.562 -1.705 -0.168 -3.128 1.795 1.616 -2.815 1.529 -2.314" Properties=species:S:1:pos:R:3 pbc="T T T"
B 0.000 0.000 0.000
Ni -4.753 0.810 -0.433
Mo -7.129 1.215 -0.650
Li -2.376 0.405 -0.217
```

Calculated values
energy: -5.977 eV/atom
total magnetization: 0.196 μB/f.u.



# 4
The following is a PBE-GGA calculation of a relaxed Sm3Pt4 crystal, from OQMD.

```
14
Lattice="6.730 3.886 1.927 -6.730 3.886 1.927 0.000 -7.772 1.927" Properties=species:S:1:pos:R:3 pbc="T T T"
Pt 1.105 -3.198 1.615
Pt 3.322 -0.642 4.168
Pt 0.000 0.000 0.000
Sm -0.838 2.446 1.377
Sm 0.838 -2.446 4.405
Pt 0.000 0.000 2.891
Pt 2.217 2.556 1.615
Pt -2.217 -2.556 4.168
Sm 1.700 1.949 4.405
Sm 2.537 -0.498 1.377
Sm -2.537 0.498 4.405
Sm -1.700 -1.949 1.377
Pt -1.105 3.198 4.168
Pt -3.322 0.642 1.614
```

Calculated values
energy: -6.624 eV/atom
DFT formation energy: -1.144 eV per atom
total magnetization: 0.021 μB/f.u.



# 5
The following is a PBE-GGA calculation of a relaxed RbHoSi crystal, from OQMD.

```
3
Lattice="0.000 3.721 3.721 3.721 0.000 3.721 3.721 3.721 0.000" Properties=species:S:1:pos:R:3 pbc="T T T"
Ho 1.860 1.860 1.860
Si 0.000 0.000 0.000
Rb 5.581 5.581 5.581
```

Calculated values
energy: -3.315 eV/atom
total magnetization: 0.000 μB/f.u.



# 6
The following is a PBE-GGA calculation of a relaxed YTlCoW crystal, from OQMD.

```
4
Lattice="0.000 3.366 3.366 3.366 0.000 3.366 3.366 3.366 0.000" Properties=species:S:1:pos:R:3 pbc="T T T"
Y 1.683 1.683 1.683
W 3.366 3.366 3.366
Co 5.049 5.049 5.049
Tl 0.000 0.000 0.000
```

Calculated values
energy: -6.457 eV/atom
total magnetization: 2.998 μB/f.u.



# 7
The following is a PBE-GGA calculation of a relaxed PuRe2 crystal, from OQMD.

```
12
Lattice="5.499 0.000 0.000 -2.749 4.762 0.000 0.000 0.000 8.437" Properties=species:S:1:pos:R:3 pbc="T T T"
Pu 0.000 3.175 4.807
Re 0.000 0.000 0.000
Re 2.749 3.135 6.328
Re 0.000 0.000 4.219
Re 1.409 0.813 6.328
Pu 2.749 1.587 0.588
Re -1.341 3.949 2.109
Pu 2.749 1.587 3.630
Re 4.090 0.813 6.328
Pu 0.000 3.175 7.849
Re 0.000 1.627 2.109
Re 1.341 3.949 2.109
```

Calculated values
energy: -13.008 eV/atom
DFT formation energy: -0.017 eV per atom
total magnetization: 4.874 μB/f.u.



# 8
The following is a PBE-GGA calculation of a relaxed CuAg6 crystal, from OQMD.

```
7
Lattice="-1.021 -3.272 3.648 4.016 -2.215 -2.005 2.268 3.562 2.688" Properties=species:S:1:pos:R:3 pbc="T T T"
Cu 0.000 0.000 0.000
Ag 4.407 0.053 2.438
Ag 2.772 -0.726 0.120
Ag 1.569 0.803 2.263
Ag 2.491 -1.199 4.210
Ag 0.857 -1.978 1.893
Ag 3.695 -2.728 2.067
```

Calculated values
energy: -2.907 eV/atom
DFT formation energy: 0.045 eV per atom